YMg15Sc4 | GGA-PBE | optimized geometry

Structure (POSCAR):
```
YMg15Sc4
1.0
4.588 0.000 0.000
0.000 4.588 0.000
0.000 0.000 22.256
Y Mg Sc
1 15 4
Direct
0.000 0.000 0.000 Y
0.000 0.500 0.106 Mg
0.000 0.500 0.304 Mg
0.000 0.500 0.500 Mg
0.000 0.500 0.696 Mg
0.000 0.500 0.894 Mg
0.500 0.000 0.106 Mg
0.500 0.000 0.304 Mg
0.500 0.000 0.500 Mg
0.500 0.000 0.696 Mg
0.500 0.000 0.894 Mg
0.500 0.500 0.000 Mg
0.500 0.500 0.206 Mg
0.500 0.500 0.402 Mg
0.500 0.500 0.598 Mg
0.500 0.500 0.794 Mg
0.000 0.000 0.206 Sc
0.000 0.000 0.402 Sc
0.000 0.000 0.598 Sc
0.000 0.000 0.794 Sc
```

Calculated values
For the energy of formation, the calculation gives -48.8 meV per atom. The total magnetization is 0.00 μB/f.u.



YMgSc | GGA-PBE | optimized geometry

Structure (POSCAR):
```
YMgSc
1.0
3.395 0.000 0.000
0.000 3.400 0.000
-0.002 0.000 13.823
Y Mg Sc
2 2 2
Direct
0.249 0.000 0.245 Y
0.751 0.500 0.755 Y
0.250 0.998 0.928 Mg
0.750 0.498 0.072 Mg
0.251 0.001 0.579 Sc
0.749 0.501 0.421 Sc
```

Calculated values
For the energy of formation, the calculation gives -14.4 meV per atom. For the polymorph energy (0 for the lowest one), the calculation gives 0.011 eV per atom. The total magnetization is 0.00 μB/f.u.